[1]
# BaGa4Ag2Pd | Alexandria | PBE | optimized geometry
data_BaGa4Ag2Pd
_cell_length_a 10.190
_cell_length_b 10.190
_cell_length_c 10.190
_cell_angle_alpha 25.33
_cell_angle_beta 25.33
_cell_angle_gamma 25.33
_space_group_name_H-M_alt 'P 1'
_space_group_IT_number 1
loop_
_space_group_symop_operation_xyz
'x,y,z'
loop_
_atom_site_label
_atom_site_type_symbol
_atom_site_fract_x
_atom_site_fract_y
_atom_site_fract_z
_atom_site_occupancy
Ba1 Ba 0.000 0.000 0.000 1
Ga1 Ga 0.134 0.134 0.134 1
Ga2 Ga 0.409 0.409 0.409 1
Ga3 Ga 0.591 0.591 0.591 1
Ga4 Ga 0.866 0.866 0.866 1
Ag1 Ag 0.234 0.234 0.234 1
Ag2 Ag 0.766 0.766 0.766 1
Pd1 Pd 0.500 0.500 0.500 1
# Total magnetization, Bohr magnetons per cell: 0.0
# Energy of formation from the pure elements, meV/atom: -303

=====

[2]
# Na2Cd5InAu2 | Alexandria | PBE | optimized geometry
data_Na2Cd5InAu2
_cell_length_a 10.269
_cell_length_b 10.269
_cell_length_c 4.505
_cell_angle_alpha 90.00
_cell_angle_beta 90.00
_cell_angle_gamma 90.00
_space_group_name_H-M_alt 'P 1'
_space_group_IT_number 1
loop_
_space_group_symop_operation_xyz
'x,y,z'
loop_
_atom_site_label
_atom_site_type_symbol
_atom_site_fract_x
_atom_site_fract_y
_atom_site_fract_z
_atom_site_occupancy
Na1 Na 0.174 0.326 0.000 1
Na2 Na 0.326 0.826 0.000 1
Na3 Na 0.674 0.174 0.000 1
Na4 Na 0.826 0.674 0.000 1
Cd1 Cd 0.000 0.500 0.500 1
Cd2 Cd 0.070 0.794 0.500 1
Cd3 Cd 0.206 0.070 0.500 1
Cd4 Cd 0.294 0.570 0.500 1
Cd5 Cd 0.430 0.294 0.500 1
Cd6 Cd 0.500 0.000 0.500 1
Cd7 Cd 0.570 0.706 0.500 1
Cd8 Cd 0.706 0.430 0.500 1
Cd9 Cd 0.794 0.930 0.500 1
Cd10 Cd 0.930 0.206 0.500 1
In1 In 0.000 0.000 0.000 1
In2 In 0.500 0.500 0.000 1
Au1 Au 0.122 0.622 0.000 1
Au2 Au 0.378 0.122 0.000 1
Au3 Au 0.622 0.878 0.000 1
Au4 Au 0.878 0.378 0.000 1
# Total magnetization, Bohr magnetons per cell: 0.0
# Energy of formation from the pure elements, meV/atom: -174

=====

[3]
# TmGe2Os | Alexandria | PBE | optimized geometry
data_TmGe2Os
_cell_length_a 5.347
_cell_length_b 5.347
_cell_length_c 5.347
_cell_angle_alpha 46.28
_cell_angle_beta 46.28
_cell_angle_gamma 46.28
_space_group_name_H-M_alt 'P 1'
_space_group_IT_number 1
loop_
_space_group_symop_operation_xyz
'x,y,z'
loop_
_atom_site_label
_atom_site_type_symbol
_atom_site_fract_x
_atom_site_fract_y
_atom_site_fract_z
_atom_site_occupancy
Tm1 Tm 0.000 0.000 0.000 1
Ge1 Ge 0.224 0.224 0.224 1
Ge2 Ge 0.776 0.776 0.776 1
Os1 Os 0.500 0.500 0.500 1
# Total magnetization, Bohr magnetons per cell: 0.0
# Energy of formation from the pure elements, meV/atom: -413

=====

[4]
# NdTaVN3 | Alexandria | PBE | optimized geometry
data_NdTaVN3
_cell_length_a 6.941
_cell_length_b 3.244
_cell_length_c 7.478
_cell_angle_alpha 90.00
_cell_angle_beta 105.34
_cell_angle_gamma 90.00
_space_group_name_H-M_alt 'P 1'
_space_group_IT_number 1
loop_
_space_group_symop_operation_xyz
'x,y,z'
loop_
_atom_site_label
_atom_site_type_symbol
_atom_site_fract_x
_atom_site_fract_y
_atom_site_fract_z
_atom_site_occupancy
Nd1 Nd 0.194 0.250 0.204 1
Nd2 Nd 0.806 0.750 0.796 1
Ta1 Ta 0.356 0.750 0.865 1
Ta2 Ta 0.644 0.250 0.135 1
V1 V 0.107 0.250 0.603 1
V2 V 0.893 0.750 0.397 1
N1 N 0.127 0.250 0.864 1
N2 N 0.198 0.750 0.511 1
N3 N 0.448 0.750 0.161 1
N4 N 0.552 0.250 0.839 1
N5 N 0.802 0.250 0.489 1
N6 N 0.873 0.750 0.136 1
# Total magnetization, Bohr magnetons per cell: 0.0
# Formation energy (no corrections), eV/atom: -1.0252

=====

[5]
# ScBeS3 | Alexandria | PBE | optimized geometry
data_ScBeS3
_cell_length_a 4.339
_cell_length_b 4.339
_cell_length_c 4.339
_cell_angle_alpha 90.00
_cell_angle_beta 90.00
_cell_angle_gamma 90.00
_space_group_name_H-M_alt 'P 1'
_space_group_IT_number 1
loop_
_space_group_symop_operation_xyz
'x,y,z'
loop_
_atom_site_label
_atom_site_type_symbol
_atom_site_fract_x
_atom_site_fract_y
_atom_site_fract_z
_atom_site_occupancy
Sc1 Sc 0.000 0.000 0.000 1
Be1 Be 0.500 0.500 0.500 1
S1 S 0.000 0.500 0.500 1
S2 S 0.500 0.000 0.500 1
S3 S 0.500 0.500 0.000 1
# Total magnetization, Bohr magnetons per cell: 0.0
# Energy above the lowest structure with this stoichiometry, meV per atom: 0.0
# Formation energy (no corrections), eV/atom: -0.5043

=====

[6]
# CoPt2Br | Alexandria | PBE | optimized geometry
data_CoPt2Br
_cell_length_a 4.504
_cell_length_b 4.504
_cell_length_c 4.504
_cell_angle_alpha 60.00
_cell_angle_beta 60.00
_cell_angle_gamma 60.00
_space_group_name_H-M_alt 'P 1'
_space_group_IT_number 1
loop_
_space_group_symop_operation_xyz
'x,y,z'
loop_
_atom_site_label
_atom_site_type_symbol
_atom_site_fract_x
_atom_site_fract_y
_atom_site_fract_z
_atom_site_occupancy
Co1 Co 0.000 0.000 0.000 1
Pt1 Pt 0.250 0.250 0.250 1
Pt2 Pt 0.750 0.750 0.750 1
Br1 Br 0.500 0.500 0.500 1
# Total magnetization, Bohr magnetons per cell: 2.3
# Energy above the lowest structure with this stoichiometry, meV per atom: 458.5
# Formation energy (no corrections), eV/atom: 0.7513

=====

[7]
# B3SbN | Alexandria | PBE | optimized geometry
data_B3SbN
_cell_length_a 4.425
_cell_length_b 4.425
_cell_length_c 4.425
_cell_angle_alpha 90.00
_cell_angle_beta 90.00
_cell_angle_gamma 90.00
_space_group_name_H-M_alt 'P 1'
_space_group_IT_number 1
loop_
_space_group_symop_operation_xyz
'x,y,z'
loop_
_atom_site_label
_atom_site_type_symbol
_atom_site_fract_x
_atom_site_fract_y
_atom_site_fract_z
_atom_site_occupancy
B1 B 0.000 0.000 0.500 1
B2 B 0.000 0.500 0.000 1
B3 B 0.500 0.000 0.000 1
Sb1 Sb 0.000 0.000 0.000 1
N1 N 0.500 0.500 0.500 1
# Total magnetization, Bohr magnetons per cell: 0.0
# Energy above the lowest structure with this stoichiometry, meV per atom: 1331.4
# Formation energy (no corrections), eV/atom: 3.1874

=====

[8]
# Zn2Fe2Ag | Alexandria | PBE | optimized geometry
data_Zn2Fe2Ag
_cell_length_a 7.347
_cell_length_b 7.347
_cell_length_c 2.660
_cell_angle_alpha 90.00
_cell_angle_beta 90.00
_cell_angle_gamma 90.00
_space_group_name_H-M_alt 'P 1'
_space_group_IT_number 1
loop_
_space_group_symop_operation_xyz
'x,y,z'
loop_
_atom_site_label
_atom_site_type_symbol
_atom_site_fract_x
_atom_site_fract_y
_atom_site_fract_z
_atom_site_occupancy
Zn1 Zn 0.182 0.318 0.000 1
Zn2 Zn 0.318 0.818 0.000 1
Zn3 Zn 0.682 0.182 0.000 1
Zn4 Zn 0.818 0.682 0.000 1
Fe1 Fe 0.112 0.612 0.500 1
Fe2 Fe 0.388 0.112 0.500 1
Fe3 Fe 0.612 0.888 0.500 1
Fe4 Fe 0.888 0.388 0.500 1
Ag1 Ag 0.000 0.000 0.500 1
Ag2 Ag 0.500 0.500 0.500 1
# Total magnetization, Bohr magnetons per cell: 9.6
# Energy above the lowest structure with this stoichiometry, meV per atom: 0.0
# Energy of formation from the pure elements, meV/atom: 186